A plane-wave DFT calculation with GGA-PBE was carried out for a relaxed Pu5Pd2Rh crystal.

The structure belongs to space group Cm (No. 8); the cell edges are 6.377, 10.100 and 6.078 Å and the angles 90.00°, 121.03° and 90.00°. The distinct sites, in fractional coordinates, are Pu at (0.000, 0.000, 0.000), Pu at (0.045, 0.500, 0.043), Pu at (0.118, 0.000, 0.560), Pu at (0.250, 0.233, 0.491), Pd at (0.246, 0.241, 0.982) and Rh at (0.083, 0.500, 0.511).

As for the volume: 20.97 Å³ per atom. The calculation puts the density of states at the Fermi level at 3.6515 states/eV per atom. As for the total magnetization: 0.645 μB per atom. The energy relative to the lowest polymorph listed for this composition comes out at 38 meV per atom.



A plane-wave DFT calculation with GGA-PBE was carried out for a relaxed GeP3C crystal.

The structure belongs to space group Pm-3m (No. 221); the cell edges are 4.659, 4.659 and 4.659 Å and the angles 90.00°, 90.00° and 90.00°. The distinct sites, in fractional coordinates, are Ge at (0.000, 0.000, 0.000), P at (0.000, 0.000, 0.500) and C at (0.500, 0.500, 0.500).

As for the volume: 20.22 Å³ per atom. The calculation puts the density of states at the Fermi level at 1.0911 states/eV per atom. As for the total magnetization: 0.107 μB per atom. The energy relative to the lowest polymorph listed for this composition comes out at 1208 meV per atom.



A plane-wave DFT calculation with GGA-PBE was carried out for a relaxed YHgPd crystal.

The structure belongs to space group Pmma (No. 51); the cell edges are 13.441, 3.763 and 7.847 Å and the angles 90.00°, 90.00° and 90.00°. The distinct sites, in fractional coordinates, are Y at (0.050, 0.000, 0.237), Y at (0.250, 0.000, 0.822), Hg at (0.107, 0.500, 0.570), Hg at (0.250, 0.500, 0.176), Pd at (0.094, 0.500, 0.935) and Pd at (0.250, 0.000, 0.444).

As for the volume: 22.05 Å³ per atom. The calculation puts the density of states at the Fermi level at 0.6310 states/eV per atom. The value obtained for the final energy is -14.0 eV/f.u. As for the total magnetization: 0.000 μB per atom.



A plane-wave DFT calculation with GGA-PBE was carried out for a relaxed SrLa2SmSe4 crystal.

The structure belongs to space group P2/m (No. 10); the cell edges are 7.455, 4.283 and 7.463 Å and the angles 90.00°, 109.18° and 90.00°. The distinct sites, in fractional coordinates, are Sr at (0.000, 0.000, 0.000), La at (0.500, 0.000, 0.500), La at (0.500, 0.500, 0.000), Sm at (0.000, 0.500, 0.500), Se at (0.243, 0.000, 0.743) and Se at (0.248, 0.500, 0.255).

The formation energy (no corrections) is -15.506 eV per formula unit. As for the volume: 28.13 Å³ per atom. The calculation puts the density of states at the Fermi level at 0.5082 states/eV per atom. As for the total magnetization: 0.000 μB per atom.



A plane-wave DFT calculation with GGA-PBE was carried out for a relaxed Zr12CuBi6 crystal.

The structure belongs to space group R-3 (No. 148, hexagonal axes); the cell edges are 11.1281, 11.1281 and 12.6932 Å and the angles 90.00°, 90.00° and 120.00°. The distinct sites, in fractional coordinates, are Zr at (0.0441, 0.8643, 0.3196), Zr at (0.0578, 0.2062, 0.9105), Cu at (0.0000, 0.0000, 0.5000) and Bi at (0.0167, 0.5938, 0.2115).

As for the volume: 23.88 Å³ per atom. The calculation puts the density of states at the Fermi level at 0.9810 states/eV per atom. The value obtained for the final energy is -132.2 eV/f.u. As for the total magnetization: 0.000 μB per atom.



A plane-wave DFT calculation with GGA-PBE was carried out for a relaxed ScTl2Re2 crystal.

The structure belongs to space group I4/mmm (No. 139); the cell edges are 3.583, 3.583 and 17.208 Å and the angles 90.00°, 90.00° and 90.00°. The distinct sites, in fractional coordinates, are Sc at (0.000, 0.000, 0.000), Tl at (0.000, 0.000, 0.390) and Re at (0.000, 0.500, 0.250).

As for the volume: 22.09 Å³ per atom. The calculation puts the density of states at the Fermi level at 0.6838 states/eV per atom. As for the total magnetization: 0.000 μB per atom. The energy relative to the lowest polymorph listed for this composition comes out at 0 meV per atom.